--- 1 ---
Compound: ErNpSb2
Source: the Alexandria database
Functional: PBE
Structure: relaxed

Results
Total moment   1.00 μB/atom

```
4
Lattice="4.245 0.000 0.000 2.123 3.676 0.000 2.123 1.225 7.662" Properties=species:S:1:pos:R:3 pbc="T T T"
Er 6.368 3.676 7.618
Sb 2.123 1.225 1.859
Sb 2.123 1.225 5.811
Np 4.245 2.451 3.866
```

***

--- 2 ---
Compound: ErNpSb2
Source: the Alexandria database
Functional: PBE
Structure: relaxed

Results
Total moment   0.98 μB/atom

```
4
Lattice="-2.364 2.978 -2.144 -3.714 1.500 1.735 1.620 6.739 3.130" Properties=species:S:1:pos:R:3 pbc="T T T"
Sb -3.355 8.397 2.031
Sb -1.103 2.821 0.691
Np 0.000 0.000 0.000
Er -2.229 5.609 1.361
```

***

--- 3 ---
Compound: ErNpSb2
Source: the Alexandria database
Functional: PBE
Structure: relaxed

Results
Total moment   1.05 μB/atom

```
4
Lattice="-2.575 -1.593 -2.338 1.659 -4.776 1.427 -3.513 -0.053 3.906" Properties=species:S:1:pos:R:3 pbc="T T T"
Sb 0.829 -2.388 0.714
Sb -1.757 -0.027 1.953
Er -2.215 -3.211 1.498
Np -1.288 -0.797 -1.169
```

***

2 comes first in stability; the runner-up is 96 meV per atom higher.

***

--- 1 ---
Compound: Er3NpSe6
Source: the Alexandria database
Functional: PBE
Structure: relaxed

Results
Total moment   0.40 μB/atom

```
20
Lattice="-2.239 2.758 -2.011 -9.095 -7.095 0.396 -0.072 6.892 9.529" Properties=species:S:1:pos:R:3 pbc="T T T"
Se -8.643 -1.883 4.967
Se -2.763 4.438 2.947
Se -5.314 -0.346 3.369
Se -1.377 6.317 8.121
Se -2.351 1.030 1.958
Se -5.272 -0.304 -0.762
Se -9.054 1.525 5.956
Se -6.092 2.901 4.545
Se -10.029 -3.761 -0.208
Se -6.134 2.859 8.676
Se -8.457 -1.307 1.409
Se -2.948 3.862 6.505
Np -2.157 6.508 5.111
Np -9.249 -3.953 2.803
Er -3.501 1.862 4.379
Er -5.693 4.731 6.611
Er -5.712 -2.176 1.303
Er -7.904 0.693 3.535
Er -3.117 1.521 -0.658
Er -8.288 1.034 8.572
```

***

--- 2 ---
Compound: Er3NpSe6
Source: the Alexandria database
Functional: PBE
Structure: relaxed

Results
Total moment   0.40 μB/atom

```
10
Lattice="4.310 0.000 0.000 0.000 8.610 -0.142 0.000 -2.842 8.128" Properties=species:S:1:pos:R:3 pbc="T T T"
Se 2.155 1.239 5.181
Se 2.155 4.528 2.806
Se 0.000 2.633 0.668
Se 0.000 -0.194 2.709
Se 0.000 5.961 5.277
Se 0.000 3.135 7.319
Er 0.000 0.000 0.000
Er 2.155 4.305 -0.071
Er 2.155 -1.421 4.064
Np 0.000 2.884 3.993
```

***

1 comes first in stability; the runner-up is 263 meV per atom higher.

***

--- 1 ---
Compound: ErNpTc2
Source: the Alexandria database
Functional: PBE
Structure: relaxed

Results
Total moment   0.49 μB/atom

```
4
Lattice="-1.825 -0.297 2.770 -0.415 -4.703 -0.778 3.982 -0.771 2.540" Properties=species:S:1:pos:R:3 pbc="T T T"
Tc 1.991 -0.386 1.270
Tc -0.207 -2.352 -0.389
Er -0.912 -0.149 1.385
Np 0.871 -2.886 2.266
```

***

--- 2 ---
Compound: ErNpTc2
Source: the Alexandria database
Functional: PBE
Structure: relaxed

Results
Total moment   0.37 μB/atom

```
4
Lattice="-0.227 -1.976 2.684 -0.390 -2.656 -1.988 6.849 -0.928 -0.104" Properties=species:S:1:pos:R:3 pbc="T T T"
Tc 5.396 -0.731 -0.082
Tc 1.453 -0.197 -0.022
Np -0.309 -2.316 0.348
Er 3.116 -2.780 0.296
```

***

2 comes first in stability; the runner-up is 116 meV per atom higher.

***

--- 1 ---
Compound: ErOsO4
Source: the Alexandria database
Functional: PBE
Structure: relaxed

Results
Total moment   0.00 μB/atom

```
24
Lattice="5.295 0.000 0.000 0.000 7.575 -1.166 0.000 -0.095 7.362" Properties=species:S:1:pos:R:3 pbc="T T T"
Os 3.858 6.293 4.188
Os 1.436 1.187 2.008
Os 4.084 6.341 0.507
Os 1.211 1.139 5.689
O 0.446 7.139 1.137
O 3.094 0.389 1.378
O 0.663 1.277 0.201
O 0.097 5.166 3.750
O 5.173 4.605 0.592
O 2.769 4.557 4.273
O 2.526 2.923 1.923
O 5.197 2.314 2.445
O 4.848 0.341 5.059
O 4.631 6.204 5.995
O 2.745 2.266 6.126
O 1.984 1.229 3.882
O 0.122 2.875 5.604
O 2.550 5.214 0.070
O 2.201 7.091 4.817
O 3.311 6.251 2.314
Er 1.511 4.860 2.110
Er 3.783 2.620 4.086
Er 1.136 4.813 5.790
Er 4.159 2.667 0.406
```

***

--- 2 ---
Compound: ErOsO4
Source: the Alexandria database
Functional: PBE
Structure: relaxed

Results
Total moment   0.21 μB/atom

```
6
Lattice="3.300 0.000 0.000 0.000 4.847 0.048 0.000 0.056 4.847" Properties=species:S:1:pos:R:3 pbc="T T T"
O 1.650 3.495 1.402
O 1.650 1.408 3.493
O 0.000 4.059 4.052
O 3.300 0.844 0.843
Os 1.650 0.000 0.000
Er 0.000 2.452 2.447
```

***

1 comes first in stability; the runner-up is 87 meV per atom higher.

***

--- 1 ---
Compound: ErP5O14
Source: the Alexandria database
Functional: PBE
Structure: relaxed

Results
Total moment   0.00 μB/atom

```
80
Lattice="-1.223 -5.491 -6.760 7.988 2.659 -3.605 5.981 -9.249 6.431" Properties=species:S:1:pos:R:3 pbc="T T T"
O 4.398 -3.108 -8.395
O 6.648 -3.612 -2.034
O 5.483 -2.197 0.516
O 11.749 -10.406 -1.258
O 5.111 -9.468 0.602
O 11.104 -8.449 -3.506
O 4.373 -5.155 -2.221
O 7.149 -6.247 3.338
O 8.675 -6.716 1.246
O 9.071 -6.265 -4.137
O 10.873 -8.155 2.793
O 4.072 -5.365 -5.179
O 3.724 -7.581 -1.554
O 7.636 -2.613 -4.536
O 8.374 -6.926 -1.712
O 6.099 -8.468 -1.900
O 3.976 -9.949 -2.275
O 6.738 -5.350 -4.397
O 6.637 -12.085 1.578
O 5.597 -5.834 -7.271
O 0.831 -4.109 -2.810
O 7.311 -7.612 -5.263
O 9.022 -4.500 -2.380
O 8.770 -2.132 -1.658
O 8.423 -11.676 -3.203
O 5.220 -1.403 -3.569
O 3.676 -5.816 0.204
O 8.349 -8.973 4.462
O 5.838 -8.698 4.054
O 5.509 -12.319 -0.627
O 6.908 -3.383 -7.987
O 0.998 -1.675 -2.675
O 7.541 -9.100 2.111
O 2.188 -8.424 -4.891
O 5.436 -4.469 1.330
O 11.947 -5.803 2.450
O 6.109 0.004 -5.512
O 5.205 -2.981 -6.044
O 10.559 -3.657 0.958
O 8.195 -4.015 -0.086
O 4.552 -8.066 -3.847
O 7.527 -10.677 -0.364
O 6.009 -6.731 0.464
O 7.263 -9.884 -4.449
O 1.990 -5.902 -1.563
O 8.337 -5.592 -6.451
O 7.238 0.238 -3.306
O 9.762 -9.073 -0.220
O 1.643 -3.632 -0.427
O 2.985 -3.008 -3.714
O 4.324 -0.404 -0.731
O 10.757 -6.179 -2.370
O 0.800 -6.278 -6.383
O 11.916 -7.971 -1.123
O 1.874 -3.926 -6.726
O 4.410 -6.489 2.518
P 3.650 -8.534 -5.067
P 9.201 -6.054 -2.569
P 4.377 -6.064 -6.467
P 1.523 -2.899 -3.539
P 8.941 -2.002 -4.871
P 8.060 -3.440 -1.604
P 11.224 -9.181 -0.395
P 11.119 -6.674 3.308
P 7.074 -9.317 3.509
P 9.097 -3.547 1.134
P 6.822 -11.943 -0.033
P 3.545 -6.027 -1.364
P 8.370 -6.017 2.534
P 5.672 -2.764 -7.442
P 3.806 -10.079 0.938
P 7.808 -6.066 -5.146
P 4.686 -8.641 -2.329
P 5.925 -0.138 -3.900
P 1.627 -5.407 -7.241
P 4.939 -6.015 1.213
Er 7.460 -8.383 -0.022
Er 9.023 0.088 -1.942
Er 3.723 -12.169 -1.991
Er 5.287 -3.698 -3.912
```

***

--- 2 ---
Compound: ErP5O14
Source: the Alexandria database
Functional: PBE
Structure: relaxed

Results
Total moment   0.00 μB/atom

```
80
Lattice="9.178 0.000 -0.001 0.067 9.178 -0.001 0.240 0.238 12.549" Properties=species:S:1:pos:R:3 pbc="T T T"
O 7.965 0.460 7.931
O 8.485 1.199 0.926
O 0.383 4.468 8.300
O 2.350 5.147 9.829
O 4.441 7.223 8.994
O 3.380 3.973 4.873
O 7.597 8.413 10.270
O 2.817 9.138 9.649
O 2.062 3.620 0.364
O 5.117 2.751 8.747
O 5.134 9.185 10.523
O 7.831 3.374 12.197
O 6.766 1.159 11.843
O 0.447 6.785 9.174
O 4.995 6.100 11.422
O 6.668 0.278 2.900
O 5.044 2.194 3.554
O 6.817 4.439 10.075
O 9.102 4.949 4.248
O 5.368 5.946 1.400
O 1.380 8.596 7.201
O 5.730 7.262 5.909
O 8.397 2.778 6.980
O 6.299 8.023 12.443
O 1.654 6.042 0.351
O 6.105 5.444 7.675
O 1.520 8.956 4.617
O 1.088 6.639 5.568
O 4.117 3.470 11.148
O 3.755 2.154 6.639
O 9.087 1.574 10.891
O 1.887 1.004 2.278
O 4.773 9.107 4.516
O 7.135 4.270 2.719
O 3.186 1.393 0.105
O 2.668 4.977 2.473
O 8.347 7.417 3.996
O 7.423 5.796 12.184
O 4.368 6.666 3.801
O 4.490 3.316 1.126
O 0.999 8.218 11.622
O 1.536 3.295 6.379
O 9.261 4.826 10.791
O 2.718 8.257 0.705
O 6.016 4.832 5.148
O 3.469 4.585 7.400
O 8.105 0.821 5.347
O 7.949 6.121 6.169
O 4.712 0.310 8.032
O 3.311 7.688 5.923
O 0.224 4.590 1.757
O 1.138 1.999 8.552
O 0.398 7.842 1.657
O 4.350 0.232 2.025
O 9.038 2.631 3.374
O 6.174 1.729 6.625
Er 8.927 0.373 3.137
Er 0.558 9.043 9.411
Er 4.866 4.463 3.137
Er 4.618 4.953 9.411
P 0.623 3.051 7.654
P 7.756 4.600 11.200
P 5.936 6.438 12.531
P 4.176 8.646 9.310
P 4.949 1.813 7.622
P 3.124 3.646 6.292
P 8.556 3.994 3.035
P 5.309 0.770 3.238
P 6.360 5.770 6.256
P 1.746 8.134 5.843
P 7.738 1.282 6.705
P 0.929 5.422 9.513
P 2.935 0.482 1.380
P 6.549 8.935 11.168
P 1.729 4.816 1.348
P 3.549 2.979 0.018
P 8.267 1.807 12.118
P 4.536 7.603 4.926
P 8.862 6.365 4.894
P 1.218 7.610 0.430
```

***

2 comes first in stability; the runner-up is 10 meV per atom higher.

***

--- 1 ---
Compound: Er2PO
Source: the Alexandria database
Functional: PBE
Structure: relaxed

Results
Total moment   0.00 μB/atom

```
4
Lattice="-1.355 1.076 -3.268 2.029 -0.403 -3.066 -2.091 -5.184 -2.932" Properties=species:S:1:pos:R:3 pbc="T T T"
P 0.000 0.000 0.000
Er -0.412 -1.264 -2.337
Er -1.005 -3.248 -6.929
O -0.709 -2.256 -4.633
```

***

--- 2 ---
Compound: Er2PO
Source: the Alexandria database
Functional: PBE
Structure: relaxed

Results
Total moment   0.00 μB/atom

```
4
Lattice="3.601 0.000 0.000 1.801 3.119 0.000 1.801 1.040 6.461" Properties=species:S:1:pos:R:3 pbc="T T T"
P 5.402 3.119 6.431
Er 1.801 1.040 1.635
Er 1.801 1.040 4.766
O 3.601 2.079 3.320
```

***

1 comes first in stability; the runner-up is 218 meV per atom higher.